# 1
NbInHOs2 PBE optimized geometry; space-group type = P4/mmm; final energy = -33.48 eV/f.u.; D(E_F) = 2.7 states/eV/f.u.; magnetization = 0.0 μB per formula unit
1.0
4.933 0.000 0.000
0.000 4.933 0.000
0.000 0.000 3.367
Nb In H Os
1 1 1 2
Direct
0.000 0.000 0.000
0.500 0.500 0.500
0.000 0.000 0.500
0.000 0.500 0.000
0.500 0.000 0.000

# 2
CoTcAu PBE optimized geometry; space-group type = I4mm; final energy = -20.16 eV/f.u.; D(E_F) = 3.0 states/eV/f.u.; energy of formation from the pure elements = 195 meV/atom; magnetization = 0.4 μB per formula unit
1.0
-1.376 1.376 5.696
1.376 -1.376 5.696
1.376 1.376 -5.696
Co Tc Au
1 1 1
Direct
0.000 0.000 0.000
0.367 0.367 0.000
0.676 0.676 0.000

# 3
SrTb2Zn6 PBE optimized geometry; space-group type = P6/mmm; final energy = -21.26 eV/f.u.; D(E_F) = 7.5 states/eV/f.u.; energy of formation from the pure elements = -297 meV/atom; magnetization = 0.0 μB per formula unit
1.0
7.899 0.000 0.000
-3.949 6.841 0.000
0.000 0.000 3.601
Sr Tb Zn
1 2 6
Direct
0.000 0.000 0.000
0.333 0.667 0.000
0.667 0.333 0.000
0.000 0.339 0.500
0.000 0.661 0.500
0.339 0.000 0.500
0.339 0.339 0.500
0.661 0.000 0.500
0.661 0.661 0.500

# 4
CdB2Cl8 PBE optimized geometry; space-group type = C2/m; formation energy without anion corrections = -0.93 eV per atom; final energy = -39.32 eV/f.u.; D(E_F) = 0.0 states/eV/f.u.; magnetization = 0.0 μB per formula unit
1.0
5.779 -4.858 0.000
5.779 4.858 0.000
-0.874 0.000 5.681
Cd B Cl
1 2 8
Direct
0.000 0.000 0.000
0.203 0.203 0.661
0.797 0.797 0.339
0.036 0.722 0.251
0.199 0.199 0.333
0.278 0.964 0.749
0.353 0.353 0.800
0.647 0.647 0.200
0.722 0.036 0.251
0.801 0.801 0.667
0.964 0.278 0.749

# 5
BeP2RuS PBE optimized geometry; space-group type = P4/mmm; formation energy without anion corrections = 0.82 eV per atom; final energy = -23.84 eV/f.u.; D(E_F) = 5.4 states/eV/f.u.; magnetization = 0.0 μB per formula unit
1.0
4.057 0.000 0.000
0.000 4.057 0.000
0.000 0.000 4.366
Be P Ru S
1 2 1 1
Direct
0.000 0.000 0.000
0.000 0.500 0.000
0.500 0.000 0.000
0.500 0.500 0.500
0.000 0.000 0.500

# 6
Sr2PdI PBE optimized geometry; space-group type = Fm-3m; formation energy without anion corrections = -0.68 eV per atom; final energy = -12.83 eV/f.u.; D(E_F) = 2.2 states/eV/f.u.; magnetization = 0.0 μB per formula unit
1.0
0.000 4.000 4.000
4.000 0.000 4.000
4.000 4.000 0.000
Sr Pd I
2 1 1
Direct
0.250 0.250 0.250
0.750 0.750 0.750
0.000 0.000 0.000
0.500 0.500 0.500

# 7
TbCeHf PBE optimized geometry; space-group type = I4mm; final energy = -20.08 eV/f.u.; D(E_F) = 6.0 states/eV/f.u.; energy of formation from the pure elements = 145 meV/atom; magnetization = 0.5 μB per formula unit
1.0
-1.642 1.642 7.568
1.642 -1.642 7.568
1.642 1.642 -7.568
Tb Ce Hf
1 1 1
Direct
0.000 0.000 0.000
0.315 0.315 0.000
0.658 0.658 0.000

# 8
Cu2Pd2S PBE optimized geometry; space-group type = P4/mbm; formation energy without anion corrections = 0.06 eV per atom; final energy = -22.43 eV/f.u.; D(E_F) = 1.3 states/eV/f.u.; magnetization = 0.0 μB per formula unit
1.0
6.286 0.000 0.000
0.000 6.286 0.000
0.000 0.000 3.860
Cu Pd S
4 4 2
Direct
0.140 0.360 0.000
0.360 0.860 0.000
0.640 0.140 0.000
0.860 0.640 0.000
0.164 0.664 0.500
0.336 0.164 0.500
0.664 0.836 0.500
0.836 0.336 0.500
0.000 0.000 0.500
0.500 0.500 0.500

# 9
Cs3CdH5 PBE optimized geometry; space-group type = I4/mcm; final energy = -21.93 eV/f.u.; D(E_F) = 0.0 states/eV/f.u.; magnetization = 0.0 μB per formula unit
1.0
-4.203 4.203 6.363
4.203 -4.203 6.363
4.203 4.203 -6.363
Cs Cd H
6 2 10
Direct
0.181 0.681 0.862
0.250 0.250 0.000
0.319 0.181 0.500
0.681 0.819 0.500
0.750 0.750 0.000
0.819 0.319 0.138
0.250 0.750 0.500
0.750 0.250 0.500
0.000 0.000 0.000
0.038 0.787 0.500
0.213 0.713 0.251
0.287 0.538 0.500
0.462 0.962 0.749
0.500 0.500 0.000
0.538 0.038 0.251
0.713 0.462 0.500
0.787 0.287 0.749
0.962 0.213 0.500

# 10
Cs12H3Pd5 PBE optimized geometry; space-group type = Ia-3d; final energy = -43.14 eV/f.u.; D(E_F) = 11.5 states/eV/f.u.; magnetization = 0.0 μB per formula unit
1.0
-10.119 10.119 10.119
10.119 -10.119 10.119
10.119 10.119 -10.119
Cs H Pd
48 12 20
Direct
0.043 0.221 0.126
0.043 0.323 0.917
0.083 0.626 0.406
0.083 0.957 0.677
0.094 0.721 0.677
0.094 0.874 0.417
0.126 0.043 0.221
0.126 0.583 0.906
0.177 0.221 0.594
0.177 0.457 0.583
0.221 0.126 0.043
0.221 0.594 0.177
0.279 0.323 0.906
0.279 0.457 0.374
0.323 0.906 0.279
0.323 0.917 0.043
0.374 0.279 0.457
0.374 0.594 0.917
0.406 0.083 0.626
0.406 0.823 0.779
0.417 0.094 0.874
0.417 0.823 0.543
0.457 0.374 0.279
0.457 0.583 0.177
0.543 0.417 0.823
0.543 0.626 0.721
0.583 0.177 0.457
0.583 0.906 0.126
0.594 0.177 0.221
0.594 0.917 0.374
0.626 0.406 0.083
0.626 0.721 0.543
0.677 0.083 0.957
0.677 0.094 0.721
0.721 0.543 0.626
0.721 0.677 0.094
0.779 0.406 0.823
0.779 0.874 0.957
0.823 0.543 0.417
0.823 0.779 0.406
0.874 0.417 0.094
0.874 0.957 0.779
0.906 0.126 0.583
0.906 0.279 0.323
0.917 0.043 0.323
0.917 0.374 0.594
0.957 0.677 0.083
0.957 0.779 0.874
0.125 0.250 0.375
0.125 0.375 0.750
0.250 0.375 0.125
0.250 0.875 0.625
0.375 0.125 0.250
0.375 0.750 0.125
0.625 0.250 0.875
0.625 0.875 0.750
0.750 0.125 0.375
0.750 0.625 0.875
0.875 0.625 0.250
0.875 0.750 0.625
0.000 0.000 0.000
0.000 0.000 0.500
0.000 0.500 0.000
0.000 0.500 0.500
0.125 0.750 0.875
0.125 0.875 0.250
0.250 0.125 0.875
0.250 0.625 0.375
0.375 0.250 0.625
0.375 0.625 0.750
0.500 0.000 0.000
0.500 0.000 0.500
0.500 0.500 0.000
0.500 0.500 0.500
0.625 0.375 0.250
0.625 0.750 0.375
0.750 0.375 0.625
0.750 0.875 0.125
0.875 0.125 0.750
0.875 0.250 0.125

# 11
Rb2CaCrPt PBE optimized geometry; space-group type = P4/mmm; final energy = -14.33 eV/f.u.; D(E_F) = 2.6 states/eV/f.u.; energy of formation from the pure elements = 1054 meV/atom; magnetization = 5.5 μB per formula unit
1.0
6.124 0.000 0.000
0.000 6.124 0.000
0.000 0.000 6.047
Rb Ca Cr Pt
2 1 1 1
Direct
0.000 0.500 0.000
0.500 0.000 0.000
0.000 0.000 0.500
0.000 0.000 0.000
0.500 0.500 0.500

# 12
CrW2Cl8 PBE optimized geometry; space-group type = C2/m; formation energy without anion corrections = -0.43 eV per atom; final energy = -55.07 eV/f.u.; D(E_F) = 6.9 states/eV/f.u.; magnetization = 5.9 μB per formula unit
1.0
5.669 -5.228 0.000
5.669 5.228 0.000
-0.572 0.000 5.847
Cr W Cl
1 2 8
Direct
0.000 0.000 0.000
0.190 0.190 0.331
0.810 0.810 0.669
0.087 0.691 0.760
0.156 0.156 0.716
0.309 0.913 0.240
0.374 0.374 0.221
0.626 0.626 0.779
0.691 0.087 0.760
0.844 0.844 0.284
0.913 0.309 0.240